An optimized crystal structure of CuAs2HBr, computed with GGA-PBE.

abc: 5.5138 5.5138 3.1441
angles: 90.00 90.00 90.00
Fractional positions:
Cu1 0.0000 0.0000 0.0000
As1 0.0000 0.5000 0.5000
As2 0.5000 0.0000 0.5000
H1 0.5000 0.5000 0.0000
Br1 0.5000 0.5000 0.5000

Uncorrected energy = -2.795 eV per atom
Magnetic moment = 0.00 Bohr magnetons per cell
Space group = No. 123
Excess energy over the best structure of this formula in the dataset = 352 meV per atom